{
  "formula": "TcPb4Au",
  "functional": "GGA-PBE",
  "state": "optimized geometry",
  "ef_ev_per_atom": 0.91,
  "rho_g_cm3": 10.73,
  "cell": [[4.974, 3.717, 0.829], [-0.379, 4.927, 3.851], [3.071, -0.049, 5.460]],
  "species": ["Tc", "Au", "Pb", "Pb", "Pb", "Pb"],
  "fractional_positions": [[0.750, 0.750, 0.750], [0.000, 0.000, 0.000], [0.375, 0.375, 0.375], [0.375, 0.874, 0.375], [0.874, 0.375, 0.375], [0.375, 0.375, 0.874]]
}